Record 1
The following is a DFT calculation (GGA-PBE) of Ce2ZrRhN5 after structural relaxation.

Cell lengths 6.8694, 6.8694, 10.4969 Å; angles 90.00, 90.00, 152.03 degrees
Last column: nearest neighbours and their distance in Å.
Atoms (fractional coordinates):
Ce1 0.1062 0.8938 0.5000  4 N 2.31-2.48
Ce2 0.1440 0.8560 0.1157  8 N 2.43-2.68
Ce3 0.8560 0.1440 0.6157  8 N 2.43-2.68
Ce4 0.8938 0.1062 0.0000  4 N 2.31-2.48
Zr1 0.2035 0.7965 0.8226  6 N 2.17-2.31
Zr2 0.7965 0.2035 0.3226  6 N 2.17-2.31
Rh1 0.4764 0.5236 0.2699  4 N 1.97-2.12
Rh2 0.5236 0.4764 0.7699  4 N 1.97-2.12
N1 0.0496 0.9504 0.8904  2 Rh 2.12, 1 Zr 2.17
N2 0.2784 0.7216 0.4732  2 Zr 2.31, 3 Ce 2.31-2.46
N3 0.3225 0.6775 0.1837  2 Zr 2.24, 1 Rh 2.24, 1 Ce 2.48
N4 0.3673 0.6327 0.8071  1 Rh 2.12, 1 Zr 2.19
N5 0.4871 0.5129 0.5879  1 Rh 1.97
N6 0.5129 0.4871 0.0879  1 Rh 1.97
N7 0.6327 0.3673 0.3071  1 Rh 2.12, 1 Zr 2.19
N8 0.6775 0.3225 0.6837  2 Zr 2.24, 1 Rh 2.24, 1 Ce 2.48
N9 0.7216 0.2784 0.9732  2 Zr 2.31, 3 Ce 2.31-2.46
N10 0.9504 0.0496 0.3904  2 Rh 2.12, 1 Zr 2.17

Results
SG   Cmc2_1 (36)
Fermi-level density of states   0.459 states/eV per atom
Formation energy from raw total energies   -0.984 eV/atom
Total energy   -78.253 eV per formula unit
Magnetization   0.0 μB per formula unit
Calculated volume   12.9 Å³ per atom


Record 2
The following is a DFT calculation (GGA-PBE) of CeZr2RhN4 after structural relaxation.

Cell lengths 5.8758, 5.8758, 11.3961 Å; angles 90.00, 90.00, 147.76 degrees
Last column: nearest neighbours and their distance in Å.
Atoms (fractional coordinates):
Ce1 0.1129 0.8871 0.7500  6 N 2.36-2.59
Ce2 0.8871 0.1129 0.2500  6 N 2.36-2.59
Zr1 0.3699 0.6301 0.5511  3 N 2.15-2.27
Zr2 0.3699 0.6301 0.9489  3 N 2.15-2.27
Zr3 0.6301 0.3699 0.0511  3 N 2.15-2.27
Zr4 0.6301 0.3699 0.4489  3 N 2.15-2.27
Rh1 0.1498 0.8502 0.2500  4 N 2.06-2.11
Rh2 0.8502 0.1498 0.7500  4 N 2.06-2.11
N1 0.0000 0.0000 0.0000  4 Zr 2.27
N2 0.0000 0.0000 0.5000  4 Zr 2.27
N3 0.2749 0.7251 0.1124  1 Rh 2.11, 1 Zr 2.15
N4 0.2749 0.7251 0.3876  1 Rh 2.11, 1 Zr 2.15
N5 0.4622 0.5378 0.7500  2 Rh 2.06
N6 0.5378 0.4622 0.2500  2 Rh 2.06
N7 0.7251 0.2749 0.6124  1 Rh 2.11, 1 Zr 2.15
N8 0.7251 0.2749 0.8876  1 Rh 2.11, 1 Zr 2.15

Results
SG   Cmcm (63)
Fermi-level density of states   0.345 states/eV per atom
Formation energy from raw total energies   -1.175 eV/atom
Total energy   -73.082 eV per formula unit
Magnetization   0.0 μB per formula unit
Calculated volume   13.1 Å³ per atom


Record 3
The following is a DFT calculation (GGA-PBE) of Ce6Ru2N after structural relaxation.

Cell lengths 6.1896, 6.9853, 11.5406 Å; angles 90.00, 121.49, 90.00 degrees
Last column: nearest neighbours and their distance in Å.
Atoms (fractional coordinates):
Ce1 0.1064 0.0464 0.2407  1 N 2.52, 1 Ru 2.55
Ce2 0.1064 0.4536 0.7407  1 N 2.52, 1 Ru 2.55
Ce3 0.2153 0.6816 0.0600  1 N 2.50
Ce4 0.2153 0.8184 0.5600  1 N 2.50
Ce5 0.3908 0.1604 0.0582  1 N 2.42
Ce6 0.3908 0.3396 0.5582  1 N 2.42
Ce7 0.6092 0.6604 0.4418  1 N 2.42
Ce8 0.6092 0.8396 0.9418  1 N 2.42
Ce9 0.7847 0.1816 0.4400  1 N 2.50
Ce10 0.7847 0.3184 0.9400  1 N 2.50
Ce11 0.8936 0.5464 0.2593  1 N 2.52, 1 Ru 2.55
Ce12 0.8936 0.9536 0.7593  1 N 2.52, 1 Ru 2.55
Ru1 0.3081 0.1306 0.7532  2 Ce 2.55-2.85
Ru2 0.3081 0.3694 0.2532  2 Ce 2.55-2.85
Ru3 0.6919 0.6306 0.7468  2 Ce 2.55-2.85
Ru4 0.6919 0.8694 0.2468  2 Ce 2.55-2.85
N1 0.0000 0.0000 0.0000  6 Ce 2.42-2.52
N2 0.0000 0.5000 0.5000  6 Ce 2.42-2.52

Results
SG   P2_1/c (14)
Fermi-level density of states   2.439 states/eV per atom
Formation energy from raw total energies   -0.483 eV/atom
Total energy   -66.825 eV per formula unit
Magnetization   2.8 μB per formula unit
Calculated volume   23.6 Å³ per atom


Record 4
The following is a DFT calculation (GGA-PBE) of Ce3RuN2 after structural relaxation.

Cell lengths 6.6621, 6.6621, 6.6621 Å; angles 149.14, 133.51, 56.84 degrees
Last column: nearest neighbours and their distance in Å.
Atoms (fractional coordinates):
Ce1 0.0000 0.0000 0.0000  2 Ru 2.63, 4 N 2.71
Ce2 0.3133 0.3133 0.0000  4 N 2.40-2.63
Ce3 0.6867 0.6867 0.0000  4 N 2.40-2.63
Ru1 0.5000 0.0000 0.5000  6 Ce 2.63-2.82
N1 0.1746 0.6746 0.5000  4 Ce 2.40-2.63
N2 0.8254 0.3254 0.5000  4 Ce 2.40-2.63

Results
SG   Immm (71)
Fermi-level density of states   1.448 states/eV per atom
Formation energy from raw total energies   -0.925 eV/atom
Total energy   -49.281 eV per formula unit
Magnetization   0.6 μB per formula unit
Calculated volume   18.2 Å³ per atom


Record 5
The following is a DFT calculation (GGA-PBE) of Ce2RuN after structural relaxation.

Cell lengths 3.1622, 3.1622, 6.8140 Å; angles 90.00, 90.00, 90.00 degrees
Last column: nearest neighbours and their distance in Å.
Atoms (fractional coordinates):
Ce1 0.0000 0.0000 0.2153  4 N 2.67, 1 Ce 2.93, 4 Ru 2.96
Ce2 0.0000 0.0000 0.7847  4 N 2.67, 1 Ce 2.93, 4 Ru 2.96
Ru1 0.5000 0.5000 0.5000  8 Ce 2.96, 4 Ru 3.16
N1 0.5000 0.5000 0.0000  8 Ce 2.67

Results
SG   P4/mmm (123)
Fermi-level density of states   1.449 states/eV per atom
Formation energy from raw total energies   -0.508 eV/atom
Total energy   -31.499 eV per formula unit
Magnetization   0.2 μB per formula unit
Calculated volume   17.0 Å³ per atom
Excess energy over the best structure of this formula in the dataset   0.224 eV per atom


Record 6
The following is a DFT calculation (GGA-PBE) of Ce2RuN after structural relaxation.

Cell lengths 7.1904, 7.1904, 7.1904 Å; angles 28.56, 28.56, 28.56 degrees
Last column: nearest neighbours and their distance in Å.
Atoms (fractional coordinates):
Ce1 0.2365 0.2365 0.2365  3 N 2.51
Ce2 0.7635 0.7635 0.7635  3 N 2.51
Ru1 0.0000 0.0000 0.0000  6 Ce 2.86
N1 0.5000 0.5000 0.5000  6 Ce 2.51

Results
SG   R-3m (166)
Fermi-level density of states   1.300 states/eV per atom
Formation energy from raw total energies   -0.716 eV/atom
Total energy   -32.334 eV per formula unit
Magnetization   0.0 μB per formula unit
Calculated volume   18.8 Å³ per atom
Excess energy over the best structure of this formula in the dataset   0.015 eV per atom


Record 7
The following is a DFT calculation (GGA-PBE) of Ce3RuN after structural relaxation.

Cell lengths 3.5936, 6.2850, 9.8528 Å; angles 100.25, 90.04, 106.56 degrees
Last column: nearest neighbours and their distance in Å.
Atoms (fractional coordinates):
Ce1 0.1243 0.2477 0.2163  2 N 2.56-2.57, 2 Ru 2.66-2.67
Ce2 0.1479 0.2961 0.6081  1 N 2.50, 2 Ru 2.79
Ce3 0.3674 0.7353 0.0817  3 N 2.41-2.43
Ce4 0.6326 0.2647 0.9183  3 N 2.41-2.43
Ce5 0.8521 0.7039 0.3919  1 N 2.50, 2 Ru 2.79
Ce6 0.8757 0.7523 0.7837  2 N 2.56-2.57, 2 Ru 2.66-2.67
Ru1 0.4289 0.8559 0.6055  4 Ce 2.66-2.79, 1 Ru 2.95
Ru2 0.5711 0.1441 0.3945  4 Ce 2.66-2.79, 1 Ru 2.95
N1 0.2462 0.4930 0.8554  6 Ce 2.41-2.57
N2 0.7538 0.5070 0.1446  6 Ce 2.41-2.57

Results
SG   P-1 (2)
Fermi-level density of states   1.790 states/eV per atom
Formation energy from raw total energies   -0.666 eV/atom
Total energy   -38.731 eV per formula unit
Magnetization   0.0 μB per formula unit
Calculated volume   21.0 Å³ per atom


Record 8
The following is a DFT calculation (GGA-PBE) of Ce2RuN after structural relaxation.

Cell lengths 7.0939, 6.6540, 6.8497 Å; angles 90.00, 96.18, 90.00 degrees
Last column: nearest neighbours and their distance in Å.
Atoms (fractional coordinates):
Ce1 0.1435 0.1620 0.3721  3 N 2.31-2.48
Ce2 0.1435 0.3380 0.8721  3 N 2.31-2.48
Ce3 0.3174 0.6685 0.5363  1 N 2.30, 1 Ru 2.36
Ce4 0.3174 0.8315 0.0363  1 N 2.30, 1 Ru 2.36
Ce5 0.6826 0.1685 0.9637  1 N 2.30, 1 Ru 2.36
Ce6 0.6826 0.3315 0.4637  1 N 2.30, 1 Ru 2.36
Ce7 0.8565 0.6620 0.1279  3 N 2.31-2.48
Ce8 0.8565 0.8380 0.6279  3 N 2.31-2.48
Ru1 0.4593 0.0636 0.7030  1 Ce 2.36
Ru2 0.4593 0.4364 0.2030  1 Ce 2.36
Ru3 0.5407 0.5636 0.7970  1 Ce 2.36
Ru4 0.5407 0.9364 0.2970  1 Ce 2.36
N1 0.0640 0.6760 0.8591  4 Ce 2.30-2.48
N2 0.0640 0.8240 0.3591  4 Ce 2.30-2.48
N3 0.9360 0.1760 0.6409  4 Ce 2.30-2.48
N4 0.9360 0.3240 0.1409  4 Ce 2.30-2.48

Results
SG   P2_1/c (14)
Fermi-level density of states   1.048 states/eV per atom
Formation energy from raw total energies   -0.731 eV/atom
Total energy   -32.395 eV per formula unit
Magnetization   0.1 μB per formula unit
Calculated volume   20.1 Å³ per atom
Excess energy over the best structure of this formula in the dataset   0.000 eV per atom


Record 9
The following is a DFT calculation (GGA-PBE) of Ce3Ru2N6 after structural relaxation.

Cell lengths 9.8160, 9.8160, 9.8160 Å; angles 156.92, 156.92, 32.87 degrees
Last column: nearest neighbours and their distance in Å.
Atoms (fractional coordinates):
Ce1 0.0000 0.0000 0.0000  8 N 2.53
Ce2 0.1803 0.1803 0.0000  1 N 2.18
Ce3 0.8197 0.8197 0.0000  1 N 2.18
Ru1 0.4048 0.4048 0.0000  5 N 1.97-2.05
Ru2 0.5952 0.5952 0.0000  5 N 1.97-2.05
N1 0.0847 0.5847 0.5000  2 Ru 1.97
N2 0.2958 0.2958 0.0000  1 Ru 2.05, 1 Ce 2.18
N3 0.4153 0.9153 0.5000  2 Ru 1.97
N4 0.5847 0.0847 0.5000  2 Ru 1.97
N5 0.7042 0.7042 0.0000  1 Ru 2.05, 1 Ce 2.18
N6 0.9153 0.4153 0.5000  2 Ru 1.97

Results
SG   I4/mmm (139)
Fermi-level density of states   0.743 states/eV per atom
Formation energy from raw total energies   -0.795 eV/atom
Total energy   -95.053 eV per formula unit
Magnetization   0.0 μB per formula unit
Calculated volume   13.2 Å³ per atom


Record 10
The following is a DFT calculation (GGA-PBE) of CeRuN2 after structural relaxation.

Cell lengths 5.0783, 5.0783, 5.0783 Å; angles 39.78, 39.78, 39.78 degrees
Last column: nearest neighbours and their distance in Å.
Atoms (fractional coordinates):
Ce1 0.0000 0.0000 0.0000  6 N 2.42
Ru1 0.5000 0.5000 0.5000  6 N 2.21
N1 0.2351 0.2351 0.2351  3 Ru 2.21, 3 Ce 2.42
N2 0.7649 0.7649 0.7649  3 Ru 2.21, 3 Ce 2.42

Results
SG   R-3m (166)
Formation energy from raw total energies   -0.752 eV/atom
Total energy   -34.870 eV per formula unit
Magnetization   0.0 μB per formula unit
Calculated volume   12.1 Å³ per atom